Record 1
5
Lattice="6.067 0.000 0.000 0.000 6.067 0.000 0.000 0.000 4.717" Properties=species:S:1:pos:R:3 comment="Sr2FeSbP GGA-PBEsol relaxed" energy_ev_per_cell=-21.63 n_ef_per_ev_atom=1.37 pbc="T T T"
Sr 0.000 3.033 0.000
Sr 3.033 0.000 0.000
Fe 0.000 0.000 2.359
Sb 0.000 0.000 0.000
P 3.033 3.033 2.359


Record 2
5
Lattice="5.120 0.000 0.000 0.000 5.120 0.000 0.000 0.000 5.021" Properties=species:S:1:pos:R:3 comment="FeSb2TeP GGA-PBEsol relaxed" energy_ev_per_cell=-22.16 n_ef_per_ev_atom=1.26 pbc="T T T"
Fe 0.000 0.000 0.000
Sb 0.000 2.560 2.510
Sb 2.560 0.000 2.510
Te 2.560 2.560 0.000
P 2.560 2.560 2.510


Record 3
5
Lattice="4.793 0.000 0.000 0.000 4.793 0.000 0.000 0.000 4.928" Properties=species:S:1:pos:R:3 comment="FeSb2TeP GGA-PBEsol relaxed" energy_ev_per_cell=-24.42 n_ef_per_ev_atom=0.91 pbc="T T T"
Fe 0.000 0.000 0.000
Sb 0.000 2.397 0.000
Sb 2.397 0.000 0.000
Te 0.000 0.000 2.464
P 2.397 2.397 2.464


Copy entry 1 word for word.
5
Lattice="6.067 0.000 0.000 0.000 6.067 0.000 0.000 0.000 4.717" Properties=species:S:1:pos:R:3 comment="Sr2FeSbP GGA-PBEsol relaxed" energy_ev_per_cell=-21.63 n_ef_per_ev_atom=1.37 pbc="T T T"
Sr 0.000 3.033 0.000
Sr 3.033 0.000 0.000
Fe 0.000 0.000 2.359
Sb 0.000 0.000 0.000
P 3.033 3.033 2.359